[1]
12
Lattice="6.2253 -0.0014 0.0015 -3.1123 5.3915 0.0015 -1.0395 -1.7999 11.6479" Properties=species:S:1:pos:R:3 comment="La3Tb2DyHo6, optimized geometry, DFT PBE-GGA" e_form_ev_per_atom=0.02 total_energy_ev_per_atom=-4.6547 pbc="T T T"
Tb 3.1122 1.7965 0.0015
Tb 0.0008 3.5935 0.0015
Ho 2.0735 -0.0023 2.8516
La 4.1482 -0.0019 5.8255
Dy 0.0000 0.0000 0.0000
Ho -0.0010 -0.0018 8.7971
Ho -1.0382 1.7948 2.8516
La 1.0367 1.7951 5.8255
La -2.0747 3.5921 5.8255
Ho 2.0745 3.5920 2.8539
Ho 0.0000 3.5925 8.7994
Ho 3.1117 1.7954 8.7994

[2]
12
Lattice="-1.7379 5.3639 2.6281 -4.1444 -4.5755 -0.7660 4.7108 -4.5116 9.8719" Properties=species:S:1:pos:R:3 comment="La3TbDy2Ho6, optimized geometry, DFT PBE-GGA" e_form_ev_per_atom=0.02 total_energy_ev_per_atom=-4.6517 pbc="T T T"
Dy -2.5400 2.0508 1.4967
Ho 2.0758 -3.2095 7.9272
Tb 0.0000 0.0000 0.0000
Ho -3.2473 -0.5137 3.8068
Ho -0.4633 -1.1586 9.4240
La -1.3879 -5.1749 4.7356
Dy -3.3422 -1.2625 0.3653
La 0.2165 1.4517 6.9984
La -0.5857 -1.8616 5.8670
Ho -1.2657 -4.4725 8.2924
Ho 0.0942 0.7493 3.4416
Ho -0.7081 -2.5647 2.3100

[3]
12
Lattice="6.1555 0.0011 0.0207 -3.0753 5.3322 0.0207 -1.0612 -1.8374 11.5788" Properties=species:S:1:pos:R:3 comment="LaTb2Dy3Ho6, optimized geometry, DFT PBE-GGA" e_form_ev_per_atom=0.02 total_energy_ev_per_atom=-4.6016 pbc="T T T"
Dy -2.0649 3.5236 5.8101
Tb 3.0783 1.7783 0.0207
Tb 0.0019 3.5550 0.0207
Ho -0.0245 -0.0424 8.6624
Ho 2.0530 -0.0096 2.9368
Dy 4.0839 -0.0276 5.8101
Ho -1.0343 1.7735 2.9368
Ho -0.0340 3.5055 8.6834
Dy 1.0095 1.7480 5.8101
Ho 2.0435 3.5383 2.9578
La 0.0000 0.0000 0.0000
Ho 3.0533 1.7225 8.6834